[1]
A plane-wave DFT calculation with GGA-PBE was carried out for crystalline Sn2GeBr at its relaxed geometry.

Results
Uncorrected formation energy   29 kJ/mol of formula units
Total magnetization   0.00 μB/f.u.
N(E_F)   0.913 states/eV/atom
Density   6.4 g cm⁻³
ΔE to the lowest computed polymorph   61 meV/atom

Lattice parameters (Å, degrees): 7.3926 7.3926 7.3926 90.00 90.00 90.00
Space group Fm-3m (No. 225)
Symmetry-distinct sites (fractional):
Sn: 0.2500 0.2500 0.2500 [8 per cell]
Ge: 0.0000 0.0000 0.0000 [4 per cell]
Br: 0.0000 0.0000 0.5000 [4 per cell]



[2]
A plane-wave DFT calculation with GGA-PBE was carried out for crystalline Nd12MgCo6 at its relaxed geometry.

Results
ΔH_f (0 K)   -0.087 eV per atom
Total magnetization   0.00 μB/f.u.
N(E_F)   0.827 states/eV/atom
Density   6.9 g cm⁻³

Lattice parameters (Å, degrees): 10.0468 10.0468 10.0468 90.00 90.00 90.00
Space group Im-3 (No. 204)
Symmetry-distinct sites (fractional):
Nd: 0.0000 0.3078 0.1944 [24 per cell]
Mg: 0.0000 0.0000 0.0000 [2 per cell]
Co: 0.0000 0.1107 0.5000 [12 per cell]



[3]
A plane-wave DFT calculation with GGA-PBE was carried out for crystalline Cs2PmPaSe4 at its relaxed geometry.

Results
Uncorrected formation energy   -1154 kJ/mol of formula units
Total magnetization   1.86 μB/f.u.
N(E_F)   1.010 states/eV/atom
Density   5.9 g cm⁻³

Lattice parameters (Å, degrees): 7.4662 4.2908 8.8087 90.00 106.24 90.00
Space group P2/m (No. 10)
Symmetry-distinct sites (fractional):
Cs: 0.0000 0.0000 0.0000 [1 per cell]
Cs: 0.5000 0.5000 0.0000 [1 per cell]
Pm: 0.0000 0.5000 0.5000 [1 per cell]
Pa: 0.5000 0.0000 0.5000 [1 per cell]
Se: 0.2377 0.0000 0.6907 [2 per cell]
Se: 0.2759 0.5000 0.3102 [2 per cell]



[4]
A plane-wave DFT calculation with GGA-PBE was carried out for crystalline LaTb2PrY5 at its relaxed geometry.

Results
ΔH_f (0 K)   0.249 eV per atom
Total magnetization   0.00 μB/f.u.
N(E_F)   1.243 states/eV/atom
Density   5.7 g cm⁻³

Lattice parameters (Å, degrees): 8.7935 8.7935 15.5913 90.00 90.00 90.00
Space group I4/mcm (No. 140)
Symmetry-distinct sites (fractional):
La: 0.0000 0.0000 0.2500 [4 per cell]
Tb: 0.1170 0.3830 0.0000 [8 per cell]
Pr: 0.0000 0.5000 0.2500 [4 per cell]
Y: 0.0000 0.0000 0.0000 [4 per cell]
Y: 0.2030 0.2970 0.3675 [16 per cell]



[5]
A plane-wave DFT calculation with GGA-PBE was carried out for crystalline ZrPa2Te4 at its relaxed geometry.

Results
Uncorrected formation energy   -509 kJ/mol of formula units
Total magnetization   2.88 μB/f.u.
N(E_F)   1.513 states/eV/atom
Density   8.3 g cm⁻³
ΔE to the lowest computed polymorph   0 meV/atom

Lattice parameters (Å, degrees): 16.3194 4.0109 7.1652 90.00 114.91 90.00
Space group C2/m (No. 12)
Symmetry-distinct sites (fractional):
Zr: 0.0000 0.0000 0.0000 [2 per cell]
Pa: 0.2459 0.0000 0.2412 [4 per cell]
Te: 0.1107 0.5000 0.2998 [4 per cell]
Te: 0.1134 0.0000 0.7777 [4 per cell]



[6]
A plane-wave DFT calculation with GGA-PBE was carried out for crystalline TlZnHRh2 at its relaxed geometry.

Results
Total magnetization   0.00 μB/f.u.
N(E_F)   0.354 states/eV/atom
Density   11.9 g cm⁻³
DFT total energy   -4.363 eV/atom

Lattice parameters (Å, degrees): 4.1585 4.1585 3.8371 90.00 90.00 90.00
Space group P4/mmm (No. 123)
Symmetry-distinct sites (fractional):
Tl: 0.0000 0.0000 0.0000 [1 per cell]
Zn: 0.5000 0.5000 0.0000 [1 per cell]
H: 0.5000 0.5000 0.5000 [1 per cell]
Rh: 0.0000 0.5000 0.5000 [2 per cell]



[7]
A plane-wave DFT calculation with GGA-PBE was carried out for crystalline PuSc2P3 at its relaxed geometry.

Results
ΔH_f (0 K)   -1.363 eV per atom
Total magnetization   4.87 μB/f.u.
N(E_F)   1.501 states/eV/atom
Density   5.9 g cm⁻³

Lattice parameters (Å, degrees): 7.6468 10.8448 23.0654 90.00 90.00 90.00
Space group Fddd (No. 70, origin choice 2)
Symmetry-distinct sites (fractional):
Pu: 0.1250 0.1250 0.0417 [16 per cell]
Sc: 0.1250 0.1250 0.3747 [16 per cell]
Sc: 0.1250 0.1250 0.5416 [16 per cell]
P: 0.1173 0.3750 0.8750 [16 per cell]
P: 0.1212 0.3718 0.7072 [32 per cell]



[8]
A plane-wave DFT calculation with GGA-PBE was carried out for crystalline Ti2ReW at its relaxed geometry.

Results
ΔH_f (0 K)   0.533 eV per atom
Total magnetization   0.00 μB/f.u.
N(E_F)   0.592 states/eV/atom
Density   11.5 g cm⁻³

Lattice parameters (Å, degrees): 7.0903 7.0903 5.3571 90.00 90.00 90.00
Space group I-42d (No. 122)
Symmetry-distinct sites (fractional):
Ti: 0.2376 0.2500 0.1250 [8 per cell]
Re: 0.0000 0.0000 0.0000 [4 per cell]
W: 0.0000 0.0000 0.5000 [4 per cell]